# Sr2Ce2Ti5O15 PBEsol relaxed
# Fermi-level density of states: 0.55 states/eV per atom
# total moment: 0.085 μB per atom
# formation energy (no corrections): -75.690 eV/f.u.
data_Sr2Ce2Ti5O15
_chemical_formula_sum 'Sr2 Ce2 Ti5 O15'
_cell_length_a 11.568
_cell_length_b 11.568
_cell_length_c 11.568
_cell_angle_alpha 27.36
_cell_angle_beta 27.36
_cell_angle_gamma 27.36
_space_group_name_H-M_alt 'P 1'
_space_group_IT_number 1
loop_
_space_group_symop_operation_xyz
'x,y,z'
loop_
_atom_site_label
_atom_site_type_symbol
_atom_site_fract_x
_atom_site_fract_y
_atom_site_fract_z
Sr1 Sr 0.200 0.200 0.200
Sr2 Sr 0.800 0.800 0.800
Ce1 Ce 0.398 0.398 0.398
Ce2 Ce 0.602 0.602 0.602
Ti1 Ti 0.097 0.097 0.097
Ti2 Ti 0.302 0.302 0.302
Ti3 Ti 0.500 0.500 0.500
Ti4 Ti 0.698 0.698 0.698
Ti5 Ti 0.903 0.903 0.903
O1 O 0.000 0.500 0.500
O2 O 0.103 0.103 0.589
O3 O 0.103 0.589 0.103
O4 O 0.208 0.698 0.698
O5 O 0.302 0.302 0.792
O6 O 0.302 0.792 0.302
O7 O 0.411 0.897 0.897
O8 O 0.500 0.000 0.500
O9 O 0.500 0.500 0.000
O10 O 0.589 0.103 0.103
O11 O 0.698 0.208 0.698
O12 O 0.698 0.698 0.208
O13 O 0.792 0.302 0.302
O14 O 0.897 0.411 0.897
O15 O 0.897 0.897 0.411